Entry 1:
Entry from Alexandria: a geometry-optimized Y2MnHg structure (GGA-PBEsol).

```
Y2MnHg
1.0
4.650 -1.747 0.000
4.650 1.747 0.000
-1.343 0.000 6.062
Y Mn Hg
2 1 1
direct
0.248 0.248 0.243
0.752 0.752 0.757
0.500 0.500 0.000
0.000 0.000 0.500
```

Summary:
DFT total energy in hartree per atom: -0.2143
Space-group type: C2/m (12)
Spin magnetization in μB per cell: 3.4
Formation energy in eV/atom: 0.162
D(E_F) in states/eV/cell: 4.24
Volume in Å³ per atom: 24.63
Crystal system: monoclinic


Entry 2:
Entry from Alexandria: a geometry-optimized Y2MnHg structure (GGA-PBEsol).

```
Y2MnHg
1.0
4.642 0.000 0.000
0.000 1.788 5.643
0.000 -1.788 5.643
Y Mn Hg
2 1 1
direct
0.000 0.000 0.000
0.500 0.302 0.302
0.000 0.724 0.724
0.500 0.580 0.580
```

Summary:
DFT total energy in hartree per atom: -0.2243
Space-group type: Amm2 (38)
Spin magnetization in μB per cell: 2.8
Formation energy in eV/atom: -0.110
D(E_F) in states/eV/cell: 4.73
Volume in Å³ per atom: 23.42
Crystal system: orthorhombic


> DFT total energy of number 1 (Y2MnHg)?

-0.2143 hartree per atom